Record 1
{
  "formula": "ScTcIr2",
  "functional": "PBE-GGA",
  "state": "relaxed",
  "formation_energy_ev_per_atom": 0.22,
  "polymorph_energy_kj_per_mol_fu": 260,
  "magmom_total_mub_per_fu": 0.00,
  "dos_ef_per_ev_atom": 1.304,
  "spacegroup": "I-42d (122)",
  "cell": [[-1.735, -2.272, -2.733], [-0.493, -2.859, 2.689], [-8.976, 0.830, 2.147]],
  "species": ["Ir", "Ir", "Ir", "Ir", "Sc", "Sc", "Tc", "Tc"],
  "fractional_positions": [[0.641, 0.125, 0.250], [0.375, 0.359, 0.750], [0.875, 0.891, 0.750], [0.109, 0.625, 0.250], [0.250, 0.750, 0.500], [0.500, 0.500, 0.000], [0.750, 0.250, 0.500], [0.000, 0.000, 0.000]]
}

***

Record 2
{
  "formula": "ScTcIr",
  "functional": "PBE-GGA",
  "state": "relaxed",
  "formation_energy_ev_per_atom": -0.14,
  "polymorph_energy_kj_per_mol_fu": 69,
  "magmom_total_mub_per_fu": 0.00,
  "dos_ef_per_ev_atom": 1.446,
  "spacegroup": "P3m1 (156)",
  "cell": [[-4.396, 0.475, -0.265], [1.955, -0.350, 3.960], [0.297, 2.803, 0.101]],
  "species": ["Sc", "Tc", "Ir"],
  "fractional_positions": [[0.667, 0.333, 0.347], [0.333, 0.667, 0.651], [0.000, 0.000, 0.002]]
}

***

Record 3
{
  "formula": "ScTcIr",
  "functional": "PBE-GGA",
  "state": "relaxed",
  "formation_energy_ev_per_atom": -0.33,
  "polymorph_energy_kj_per_mol_fu": 15,
  "magmom_total_mub_per_fu": 0.00,
  "dos_ef_per_ev_atom": 0.893,
  "spacegroup": "I4mm (107)",
  "cell": [[6.391, 0.001, -0.001], [5.756, 2.779, 0.000], [0.636, 0.145, 2.774]],
  "species": ["Sc", "Ir", "Tc"],
  "fractional_positions": [[0.336, 0.336, 0.664], [0.011, 0.011, 0.989], [0.652, 0.652, 0.348]]
}

***

Record 4
{
  "formula": "ScTcIr3",
  "functional": "PBE-GGA",
  "state": "relaxed",
  "formation_energy_ev_per_atom": 0.95,
  "magmom_total_mub_per_fu": 0.00,
  "dos_ef_per_ev_atom": 1.077,
  "spacegroup": "Pm-3m (221)",
  "cell": [[-0.455, 0.610, 4.637], [-3.047, -3.573, 0.171], [3.548, -2.990, 0.741]],
  "species": ["Ir", "Ir", "Ir", "Tc", "Sc"],
  "fractional_positions": [[0.500, 0.000, 0.000], [0.000, 0.500, 0.000], [0.000, 0.000, 0.500], [0.000, 0.000, 0.000], [0.500, 0.500, 0.500]]
}

***

Record 5
{
  "formula": "Sc3TcIr",
  "functional": "PBE-GGA",
  "state": "relaxed",
  "formation_energy_ev_per_atom": 0.29,
  "polymorph_energy_kj_per_mol_fu": 0,
  "magmom_total_mub_per_fu": 1.67,
  "dos_ef_per_ev_atom": 0.908,
  "spacegroup": "Pm-3m (221)",
  "cell": [[-4.691, 0.948, -1.203], [-1.526, -2.546, 3.942], [0.136, 4.119, 2.714]],
  "species": ["Tc", "Sc", "Sc", "Sc", "Ir"],
  "fractional_positions": [[0.500, 0.500, 0.500], [0.500, 0.000, 0.000], [0.000, 0.500, 0.000], [0.000, 0.000, 0.500], [0.000, 0.000, 0.000]]
}

***

Record 6
{
  "formula": "ScTcIr2",
  "functional": "PBE-GGA",
  "state": "relaxed",
  "formation_energy_ev_per_atom": -0.31,
  "polymorph_energy_kj_per_mol_fu": 56,
  "magmom_total_mub_per_fu": 0.09,
  "dos_ef_per_ev_atom": 0.912,
  "spacegroup": "P4/mmm (123)",
  "cell": [[4.688, 0.000, 0.000], [0.000, 4.688, 0.000], [0.000, 0.000, 2.860]],
  "species": ["Tc", "Ir", "Ir", "Sc"],
  "fractional_positions": [[0.000, 0.500, 0.500], [0.000, 0.000, 0.000], [0.500, 0.500, 0.000], [0.500, 0.000, 0.500]]
}

***

Record 7
{
  "formula": "ScTcIr2",
  "functional": "PBE-GGA",
  "state": "relaxed",
  "formation_energy_ev_per_atom": -0.45,
  "polymorph_energy_kj_per_mol_fu": 0,
  "magmom_total_mub_per_fu": 0.00,
  "dos_ef_per_ev_atom": 0.780,
  "spacegroup": "P4/mmm (123)",
  "cell": [[2.841, 0.000, 0.000], [0.000, 2.841, 0.000], [0.000, 0.000, 7.740]],
  "species": ["Sc", "Ir", "Ir", "Tc"],
  "fractional_positions": [[0.500, 0.500, 0.250], [0.000, 0.000, 0.517], [0.000, 0.000, 0.983], [0.500, 0.500, 0.750]]
}

***

Record 8
{
  "formula": "ScTcIr2",
  "functional": "PBE-GGA",
  "state": "relaxed",
  "formation_energy_ev_per_atom": -0.39,
  "polymorph_energy_kj_per_mol_fu": 24,
  "magmom_total_mub_per_fu": 0.00,
  "dos_ef_per_ev_atom": 1.179,
  "spacegroup": "P2/m (10)",
  "cell": [[-1.801, 2.703, -2.076], [-2.256, -1.701, -0.258], [-4.448, 0.508, 4.518]],
  "species": ["Ir", "Ir", "Tc", "Sc"],
  "fractional_positions": [[0.000, 0.487, 0.513], [0.000, 0.013, 0.987], [0.500, 0.750, 0.750], [0.500, 0.250, 0.250]]
}

***

Copy entry 2 word for word.
{
  "formula": "ScTcIr",
  "functional": "PBE-GGA",
  "state": "relaxed",
  "formation_energy_ev_per_atom": -0.14,
  "polymorph_energy_kj_per_mol_fu": 69,
  "magmom_total_mub_per_fu": 0.00,
  "dos_ef_per_ev_atom": 1.446,
  "spacegroup": "P3m1 (156)",
  "cell": [[-4.396, 0.475, -0.265], [1.955, -0.350, 3.960], [0.297, 2.803, 0.101]],
  "species": ["Sc", "Tc", "Ir"],
  "fractional_positions": [[0.667, 0.333, 0.347], [0.333, 0.667, 0.651], [0.000, 0.000, 0.002]]
}